This record from the Alexandria database describes a relaxed La2TbPrEr4 crystal. The functional is PBE.

Values from the calculation:
crystal system: monoclinic
magnetic moment: 0.00 μB/cell
energy of formation from the pure elements: 0.03 eV per atom
DOS at the Fermi energy: 1.435 states/eV per atom
raw total energy: -4.66 eV/atom

abc: 7.2700 9.9783 7.2726
angles: 90.00 90.09 90.00
Last column: nearest neighbours and their distance in Å.
Space group Pm (No. 6)
Unique sites:
La 0.0000 0.0000 0.0000 (multiplicity 1)  8 Er 3.61-3.62, 2 Pr 3.63-3.64, 2 La 3.63-3.64
La 0.0002 0.5000 0.5004 (multiplicity 1)  8 Er 3.57-3.58, 2 Tb 3.63-3.64, 2 Pr 3.64
La 0.4992 0.0000 0.5006 (multiplicity 1)  8 Er 3.59-3.60, 2 La 3.63-3.64, 2 Pr 3.64
La 0.9991 0.0000 0.5003 (multiplicity 1)  8 Er 3.62-3.63, 4 La 3.63-3.64
Tb 0.4992 0.5000 0.0003 (multiplicity 1)  8 Er 3.54, 2 Pr 3.63-3.64, 2 Tb 3.64
Tb 0.4999 0.5000 0.5002 (multiplicity 1)  8 Er 3.55, 2 La 3.63-3.64, 2 Tb 3.64
Pr 0.5001 0.0000 0.0004 (multiplicity 1)  8 Er 3.59, 4 La 3.63-3.64
Pr 0.9992 0.5000 0.0005 (multiplicity 1)  8 Er 3.56-3.57, 2 Tb 3.63-3.64, 2 La 3.64
Er 0.2532 0.2535 0.2496 (multiplicity 2)  2 Tb 3.54-3.55, 2 Pr 3.57-3.59, 4 La 3.57-3.63, 4 Er 3.58-3.69
Er 0.2531 0.2535 0.7510 (multiplicity 2)  2 Tb 3.54-3.55, 4 La 3.57-3.62, 2 Pr 3.57-3.59, 4 Er 3.58-3.69
Er 0.7463 0.2535 0.2494 (multiplicity 2)  2 Tb 3.54-3.55, 2 Pr 3.57-3.59, 4 La 3.58-3.62, 4 Er 3.58-3.69
Er 0.7462 0.2535 0.7513 (multiplicity 2)  2 Tb 3.54-3.55, 2 Pr 3.56-3.59, 4 La 3.58-3.62, 4 Er 3.58-3.69

This record from the Alexandria database describes a relaxed ScSbCl4 crystal. The functional is PBE.

Values from the calculation:
crystal system: cubic
magnetic moment: 0.87 μB/cell
formation energy (no corrections): 0.8 eV per formula unit
DOS at the Fermi energy: 1.202 states/eV per atom
raw total energy: -2.83 eV/atom

abc: 8.1972 8.1972 8.1972
angles: 90.00 90.00 90.00
Last column: nearest neighbours and their distance in Å.
Space group F-43m (No. 216)
Unique sites:
Sc 0.0000 0.0000 0.0000 (multiplicity 4)  12 Cl 3.40, 4 Sb 3.55
Sb 0.2500 0.2500 0.2500 (multiplicity 4)  12 Cl 3.40, 4 Sc 3.55
Cl 0.1253 0.1253 0.6253 (multiplicity 16)  6 Cl 2.89-2.91

This record from the Alexandria database describes a relaxed NaInPdAu crystal. The functional is PBE.

Values from the calculation:
crystal system: monoclinic
magnetic moment: 0.00 μB/cell
energy of formation from the pure elements: -0.21 eV per atom
DOS at the Fermi energy: 0.450 states/eV per atom
raw total energy: -3.34 eV/atom
polymorph energy (0 for the lowest one): 0.35 eV/f.u.

abc: 7.9813 4.6687 5.5611
angles: 90.00 120.19 90.00
Last column: nearest neighbours and their distance in Å.
Space group Cm (No. 8)
Unique sites:
Na 0.0000 0.0000 0.0000 (multiplicity 2)  4 In 3.06-3.21, 4 Au 3.07-3.24
In 0.2104 0.0000 0.6364 (multiplicity 2)  3 Pd 2.72-2.73, 3 Au 2.95-3.00
Pd 0.0091 0.5000 0.5332 (multiplicity 2)  3 In 2.72-2.73, 3 Au 2.80-2.81
Au 0.2836 0.5000 0.3617 (multiplicity 2)  3 Pd 2.80-2.81, 3 In 2.95-3.00, 1 Na 3.07